# TbPmMgAu

TbPmMgAu after structural relaxation (PBE-GGA, Alexandria via LeMat-Bulk).

The space group is P4mm (No. 99) and the conventional cell measures 3.749, 3.749 and 7.383 Å, with angles of 90.00, 90.00 and 90.00 degrees. The asymmetric unit holds Tb at (0.000, 0.000, 0.000), Pm at (0.000, 0.000, 0.529), Mg at (0.500, 0.500, 0.258) and Au at (0.500, 0.500, 0.782).

As for the energy relative to the elements: -175 kJ/mol of formula units. As for the crystal system: tetragonal. For the excess energy over the best structure of this formula in the dataset, the calculation gives 0 meV per atom. For the energy, the calculation gives -4.0175 eV/atom.